1.
KRbIn2Au, relaxed, DFT PBE; calculated volume = 191.35 Å³ per cell; D(E_F) = 2.94 states/eV per cell; space group = P4/mmm; energy relative to the elements = -81.6 meV/atom; energy relative to the lowest polymorph listed for this composition = 0.000 eV per atom
1.0
5.530 0.000 0.000
0.000 5.530 0.000
0.000 0.000 6.257
K Au Rb In
1 1 1 2
Cartesian
0.000 0.000 3.128 K
0.000 0.000 0.000 Au
2.765 2.765 3.128 Rb
0.000 2.765 0.000 In
2.765 0.000 0.000 In

2.
KRbInAu, relaxed, DFT PBE; calculated volume = 180.83 Å³ per cell; D(E_F) = 2.61 states/eV per cell; space group = Cm; energy relative to the elements = -207.2 meV/atom
1.0
4.848 -0.017 -0.010
-2.410 4.206 0.010
-2.419 -1.396 8.890
K Rb In Au
1 1 1 1
Cartesian
0.670 2.414 7.663 K
0.660 -0.384 3.548 Rb
0.665 2.416 1.051 In
3.085 1.009 1.034 Au

3.
KRb2InAu, relaxed, DFT PBE; calculated volume = 251.36 Å³ per cell; D(E_F) = 4.52 states/eV per cell; space group = P4/mmm; energy relative to the elements = -90.6 meV/atom
1.0
6.849 0.000 0.000
0.000 6.849 0.000
0.000 0.000 5.358
K Au Rb In
1 1 2 1
Cartesian
3.425 3.425 2.679 K
0.000 0.000 0.000 Au
0.000 3.425 0.000 Rb
3.425 0.000 0.000 Rb
0.000 0.000 2.679 In

4.
K2RbInAu, relaxed, DFT PBE; calculated volume = 230.85 Å³ per cell; D(E_F) = 4.22 states/eV per cell; space group = P4/mmm; energy relative to the elements = -119.2 meV/atom; energy relative to the lowest polymorph listed for this composition = 0.000 eV per atom
1.0
6.570 0.000 0.000
0.000 6.570 0.000
0.000 0.000 5.348
K Au Rb In
2 1 1 1
Cartesian
0.000 3.285 0.000 K
3.285 0.000 0.000 K
0.000 0.000 0.000 Au
3.285 3.285 2.674 Rb
0.000 0.000 2.674 In

5.
K2RbInAu, relaxed, DFT PBE; calculated volume = 250.02 Å³ per cell; D(E_F) = 3.44 states/eV per cell; space group = P4/mmm; energy relative to the elements = -10.7 meV/atom; energy relative to the lowest polymorph listed for this composition = 0.109 eV per atom
1.0
-6.206 1.535 2.557
-2.895 -4.514 -4.319
0.547 -3.805 3.610
K Au Rb In
2 1 1 1
Cartesian
-1.448 -2.257 -2.159 K
-3.103 0.767 1.278 K
0.273 -1.902 1.805 Au
-4.278 -3.392 0.924 Rb
0.000 0.000 0.000 In

6.
KRbIn2Au, relaxed, DFT PBE; calculated volume = 196.00 Å³ per cell; D(E_F) = 2.76 states/eV per cell; space group = P4/mmm; energy relative to the elements = -49.8 meV/atom; energy relative to the lowest polymorph listed for this composition = 0.032 eV per atom
1.0
5.538 0.000 0.000
0.000 5.538 0.000
0.000 0.000 6.392
K Au Rb In
1 1 1 2
Cartesian
2.769 2.769 3.196 K
0.000 0.000 0.000 Au
0.000 0.000 3.196 Rb
0.000 2.769 0.000 In
2.769 0.000 0.000 In

7.
KIn2RhAu, relaxed, DFT PBE; calculated volume = 142.16 Å³ per cell; D(E_F) = 2.03 states/eV per cell; space group = P4/mmm; energy relative to the elements = -169.1 meV/atom
1.0
-4.821 -1.549 0.655
1.601 -3.615 3.231
-0.551 3.478 4.164
Rh K Au In
1 1 1 2
Cartesian
0.000 0.000 0.000 Rh
-1.886 -0.843 4.025 K
-0.276 1.739 2.082 Au
0.800 -1.807 1.615 In
-2.410 -0.774 0.328 In

8.
KInRu2Au, relaxed, DFT PBE; calculated volume = 119.65 Å³ per cell; D(E_F) = 5.44 states/eV per cell; space group = P4/mmm; energy relative to the elements = 2337.6 meV/atom
1.0
4.673 0.000 0.000
0.000 5.478 0.000
0.000 0.000 4.673
Ru K Au In
2 1 1 1
Cartesian
0.000 0.000 2.337 Ru
2.337 0.000 0.000 Ru
0.000 0.000 0.000 K
2.337 2.739 2.337 Au
0.000 2.739 0.000 In

9.
K2InSb4Au3, relaxed, DFT PBE; calculated volume = 280.92 Å³ per cell; D(E_F) = 4.52 states/eV per cell; space group = P-4m2; raw formation energy = -0.281 eV per atom
1.0
-4.562 -0.902 1.532
1.457 -4.314 1.800
2.438 5.103 10.261
K In Sb Au
2 1 4 3
Cartesian
-1.675 0.819 3.319 K
2.560 1.676 8.608 K
-0.334 -0.056 6.796 In
-1.553 -2.608 1.666 Sb
0.000 0.000 0.000 Sb
-0.722 2.813 7.329 Sb
1.607 -0.318 4.598 Sb
1.219 2.552 5.130 Au
-0.151 4.009 9.733 Au
1.036 -1.513 2.194 Au

10.
K2InSb3Au4, relaxed, DFT PBE; calculated volume = 268.87 Å³ per cell; D(E_F) = 4.98 states/eV per cell; space group = P-4m2; raw formation energy = -0.303 eV per atom
1.0
4.863 0.000 0.000
0.000 4.863 0.000
0.000 0.000 11.371
K In Sb Au
2 1 3 4
Cartesian
2.431 0.000 2.724 K
0.000 2.431 8.646 K
2.431 2.431 5.685 In
0.000 0.000 5.685 Sb
2.431 0.000 9.923 Sb
0.000 2.431 1.448 Sb
2.431 2.431 0.000 Au
0.000 0.000 0.000 Au
2.431 0.000 7.193 Au
0.000 2.431 4.178 Au

11.
K2InSnAu2, relaxed, DFT PBE; calculated volume = 379.78 Å³ per cell; D(E_F) = 5.97 states/eV per cell; space group = Ibam; energy relative to the elements = -285.7 meV/atom
1.0
7.177 0.000 0.000
0.000 7.265 0.000
-3.588 -3.632 7.284
K In Sn Au
4 2 2 4
Cartesian
3.588 5.442 2.643 K
0.000 1.822 2.643 K
3.588 1.810 4.641 K
0.000 -1.810 4.641 K
5.383 3.632 0.000 In
1.794 3.632 0.000 In
1.794 0.000 0.000 Sn
5.383 0.000 0.000 Sn
0.000 1.828 6.052 Au
3.588 1.804 1.232 Au
0.000 5.460 1.232 Au
3.588 -1.828 6.052 Au

12.
K2In4SnAu3, relaxed, DFT PBE; calculated volume = 280.68 Å³ per cell; D(E_F) = 4.28 states/eV per cell; space group = P-4m2; energy relative to the elements = -261.2 meV/atom
1.0
-2.098 0.524 4.474
1.595 -4.529 1.279
9.638 4.520 3.989
K In Sn Au
2 4 1 3
Cartesian
1.377 1.400 3.241 K
8.009 1.117 3.624 K
-0.251 -2.002 2.876 In
0.000 0.000 0.000 In
5.108 3.149 4.785 In
4.279 -0.632 2.080 In
4.568 0.258 4.871 Sn
4.819 2.260 1.995 Au
7.433 4.240 5.748 Au
1.953 -1.722 1.118 Au

13.
K2InSn3Au4, relaxed, DFT PBE; calculated volume = 269.82 Å³ per cell; D(E_F) = 4.49 states/eV per cell; space group = P-4m2; energy relative to the elements = -311.2 meV/atom
1.0
4.991 0.000 0.000
0.000 4.991 0.000
0.000 0.000 10.833
K In Sn Au
2 1 3 4
Cartesian
2.495 0.000 2.633 K
0.000 2.495 8.200 K
2.495 2.495 5.417 In
0.000 0.000 5.417 Sn
2.495 0.000 9.557 Sn
0.000 2.495 1.276 Sn
2.495 2.495 0.000 Au
0.000 0.000 0.000 Au
2.495 0.000 6.788 Au
0.000 2.495 4.045 Au